[1]
Density functional theory data (SCAN) for a crystal of YFeIr relaxed with PBEsol.

Structure (extended XYZ):
```
3
Lattice="-1.561 1.561 5.277 1.561 -1.561 5.277 1.561 1.561 -5.277" Properties=species:S:1:pos:R:3 pbc="T T T"
Y 0.000 0.000 0.000
Fe 0.000 0.000 7.319
Ir 0.000 0.000 3.309
```

total magnetic moment: 3.2 μB/cell
DFT total energy: -1.4435 hartree per atom
formation energy from the elements: -0.2564 eV/atom
crystal system: tetragonal

=====

[2]
Density functional theory data (SCAN) for a crystal of ZrBeCl2 relaxed with PBEsol.

Structure (extended XYZ):
```
4
Lattice="1.641 -2.764 0.000 1.641 2.764 0.000 0.000 0.000 8.758" Properties=species:S:1:pos:R:3 pbc="T T T"
Zr 0.000 0.000 0.000
Be 1.641 0.000 6.673
Cl 0.000 0.000 5.440
Cl 1.641 0.000 1.955
```

ΔE_f (raw): -3.5 eV per formula unit
energy above the lowest structure with this stoichiometry: 0 meV per atom
total magnetic moment: 0.0 μB/cell
DFT total energy: -0.5011 hartree per atom
crystal system: orthorhombic

=====

[3]
Density functional theory data (SCAN) for a crystal of ScC2 relaxed with PBEsol.

Structure (extended XYZ):
```
3
Lattice="-1.687 2.259 2.307 1.687 -2.259 2.307 1.687 2.259 -2.307" Properties=species:S:1:pos:R:3 pbc="T T T"
Sc 0.000 0.000 0.000
C 1.687 1.609 0.000
C 0.000 0.650 2.307
```

total magnetic moment: 0.0 μB/cell
DFT total energy: -0.4280 hartree per atom
formation energy from the elements: -0.1687 eV/atom
crystal system: orthorhombic

=====

[4]
Density functional theory data (SCAN) for a crystal of KBaOF2 relaxed with PBEsol.

Structure (extended XYZ):
```
5
Lattice="5.032 0.000 0.000 0.000 5.032 0.000 0.000 0.000 4.542" Properties=species:S:1:pos:R:3 pbc="T T T"
K 0.000 0.000 0.000
Ba 2.516 2.516 2.271
O 2.516 2.516 0.000
F 0.000 2.516 2.271
F 2.516 0.000 2.271
```

ΔE_f (raw): -12.5 eV per formula unit
total magnetic moment: 0.1 μB/cell
DFT total energy: -0.5416 hartree per atom
crystal system: tetragonal

=====

[5]
Density functional theory data (SCAN) for a crystal of BeFeRe3 relaxed with PBEsol.

Structure (extended XYZ):
```
5
Lattice="4.333 0.000 0.000 0.000 4.333 0.000 0.000 0.000 4.333" Properties=species:S:1:pos:R:3 pbc="T T T"
Be 0.000 0.000 0.000
Fe 2.167 2.167 2.167
Re 0.000 2.167 2.167
Re 2.167 0.000 2.167
Re 2.167 2.167 0.000
```

total magnetic moment: 0.0 μB/cell
DFT total energy: -1.6630 hartree per atom
formation energy from the elements: 1.9034 eV/atom
crystal system: cubic

=====

[6]
Density functional theory data (SCAN) for a crystal of AlP2RuBr relaxed with PBEsol.

Structure (extended XYZ):
```
5
Lattice="4.477 0.000 0.000 0.000 4.477 0.000 0.000 0.000 4.851" Properties=species:S:1:pos:R:3 pbc="T T T"
Al 0.000 0.000 0.000
P 0.000 2.239 0.000
P 2.239 0.000 0.000
Ru 0.000 0.000 2.426
Br 2.239 2.239 2.426
```

ΔE_f (raw): 5.4 eV per formula unit
total magnetic moment: 1.4 μB/cell
DFT total energy: -0.5692 hartree per atom
crystal system: tetragonal

=====

[7]
Density functional theory data (SCAN) for a crystal of Y2CuHg relaxed with PBEsol.

Structure (extended XYZ):
```
4
Lattice="3.641 0.000 0.000 0.000 3.641 0.000 0.000 0.000 6.923" Properties=species:S:1:pos:R:3 pbc="T T T"
Y 0.000 0.000 0.000
Y 1.821 1.821 2.357
Cu 0.000 0.000 3.829
Hg 1.821 1.821 5.306
```

total magnetic moment: 1.4 μB/cell
DFT total energy: -1.2885 hartree per atom
formation energy from the elements: -0.3001 eV/atom
crystal system: tetragonal

=====

[8]
Density functional theory data (SCAN) for a crystal of CrSb2Cl relaxed with PBEsol.

Structure (extended XYZ):
```
4
Lattice="3.179 0.000 0.000 0.000 3.179 0.000 0.000 0.000 8.960" Properties=species:S:1:pos:R:3 pbc="T T T"
Cr 0.000 0.000 0.000
Sb 0.000 0.000 4.401
Sb 1.589 1.589 1.871
Cl 1.589 1.589 7.549
```

ΔE_f (raw): -0.4 eV per formula unit
total magnetic moment: 4.2 μB/cell
DFT total energy: -0.9309 hartree per atom
crystal system: tetragonal

=====

[9]
Density functional theory data (SCAN) for a crystal of TlGaAs2 relaxed with PBEsol.

Structure (extended XYZ):
```
8
Lattice="-2.976 2.976 5.889 2.976 -2.976 5.889 2.976 2.976 -5.889" Properties=species:S:1:pos:R:3 pbc="T T T"
Tl 0.000 0.000 0.000
Tl 0.000 2.976 2.945
Ga 2.976 0.000 2.945
Ga 0.000 0.000 5.889
As 1.488 -1.293 4.417
As 1.683 1.488 1.472
As 1.488 4.269 -1.472
As 1.293 1.488 7.362
```

total magnetic moment: 0.0 μB/cell
DFT total energy: -1.1910 hartree per atom
formation energy from the elements: -0.1378 eV/atom
crystal system: tetragonal

=====

[10]
Density functional theory data (SCAN) for a crystal of La2NbCrHg relaxed with PBEsol.

Structure (extended XYZ):
```
5
Lattice="5.778 0.000 0.000 0.000 5.778 0.000 0.000 0.000 4.901" Properties=species:S:1:pos:R:3 pbc="T T T"
La 0.000 2.889 0.000
La 2.889 0.000 0.000
Nb 0.000 0.000 2.451
Cr 2.889 2.889 2.451
Hg 2.889 2.889 0.000
```

total magnetic moment: 0.4 μB/cell
DFT total energy: -1.4858 hartree per atom
formation energy from the elements: 0.7464 eV/atom
crystal system: tetragonal

=====

[11]
Density functional theory data (SCAN) for a crystal of CsHf2Al2 relaxed with PBEsol.

Structure (extended XYZ):
```
10
Lattice="8.970 0.000 0.000 0.000 8.970 0.000 0.000 0.000 3.030" Properties=species:S:1:pos:R:3 pbc="T T T"
Cs 0.000 0.000 0.000
Cs 4.485 4.485 0.000
Hf 1.135 3.351 1.515
Hf 3.351 7.836 1.515
Hf 5.620 1.135 1.515
Hf 7.836 5.620 1.515
Al 1.432 5.917 0.000
Al 3.053 1.432 0.000
Al 5.917 7.539 0.000
Al 7.539 3.053 0.000
```

total magnetic moment: 0.0 μB/cell
DFT total energy: -1.2972 hartree per atom
formation energy from the elements: 0.4322 eV/atom
crystal system: tetragonal

=====

[12]
Density functional theory data (SCAN) for a crystal of OsRuPt2 relaxed with PBEsol.

Structure (extended XYZ):
```
4
Lattice="4.527 -1.351 0.000 4.527 1.351 0.000 -0.796 0.000 4.656" Properties=species:S:1:pos:R:3 pbc="T T T"
Os 0.000 0.000 0.000
Ru 1.724 0.000 3.602
Pt 4.175 0.000 2.387
Pt 6.597 0.000 1.202
```

energy above the lowest structure with this stoichiometry: 67 meV per atom
total magnetic moment: 0.0 μB/cell
DFT total energy: -2.2681 hartree per atom
formation energy from the elements: 0.0536 eV/atom
crystal system: monoclinic

=====

- Which formula does entry 10 have?
  La2NbCrHg

=====

- Among the records above, which one has the highest total magnetic moment?
  CrSb2Cl